An optimized crystal structure of Rb3Hg2AuF9. Source: Alexandria, functional PBE.

CIF file:
```
data_Rb3Hg2AuF9
_chemical_formula_sum 'Rb3 Hg2 Au1 F9'
_cell_length_a 6.4891
_cell_length_b 6.4891
_cell_length_c 7.9575
_cell_angle_alpha 90.00
_cell_angle_beta 90.00
_cell_angle_gamma 120.00
_space_group_name_H-M_alt 'P -3 m 1'
_space_group_IT_number 164
_space_group_name_Hall '-P 3 2"'
loop_
_atom_site_label
_atom_site_type_symbol
_atom_site_fract_x
_atom_site_fract_y
_atom_site_fract_z
Rb1 Rb 0.0000 0.0000 0.0000
Rb2 Rb 0.3333 0.6667 0.6637
Hg1 Hg 0.3333 0.6667 0.1696
Au1 Au 0.0000 0.0000 0.5000
F1 F 0.0000 0.5000 0.0000
F2 F 0.1656 0.3312 0.3373
```

Calculated values
Formation energy without anion corrections ... -1.8488 eV per atom
Density of states at the Fermi level ... 2.7 states/eV per cell
Calculated total energy ... -3.424 eV/atom